Ce3Th3Ga2Os: optimized geometry, PBE-GGA.

Summary:
As for the energy of formation from the pure elements: -0.334 eV/atom. For the density of states at the Fermi level, the calculation gives 1.93 states/eV/atom.

abc: 8.4978 8.4978 3.7495
angles: 90.00 90.00 120.00
Last column: nearest neighbours and their distance in Å.
Space group P-62m (No. 189)
Inequivalent atoms, fractional coordinates:
Ce: 0.0000 0.4058 0.0000  4 Ga 3.19, 6 Th 3.42-3.56, 1 Os 3.45
Th: 0.0000 0.7429 0.5000  2 Os 2.88, 2 Ga 3.21
Ga: 0.3333 0.6667 0.5000  6 Ce 3.19, 3 Th 3.21
Os: 0.0000 0.0000 0.0000  6 Th 2.88

***

CeThGaOs: optimized geometry, PBE-GGA.

Summary:
As for the energy of formation from the pure elements: -0.150 eV/atom. For the density of states at the Fermi level, the calculation gives 1.44 states/eV/atom.

abc: 6.9524 6.9524 6.9524
angles: 90.00 90.00 90.00
Last column: nearest neighbours and their distance in Å.
Space group F-43m (No. 216)
Inequivalent atoms, fractional coordinates:
Ce: 0.0000 0.0000 0.0000  4 Th 3.01, 4 Ga 3.01
Th: 0.2500 0.2500 0.7500  4 Ce 3.01, 4 Os 3.01
Ga: 0.2500 0.2500 0.2500  4 Ce 3.01, 4 Os 3.01
Os: 0.0000 0.0000 0.5000  4 Th 3.01, 4 Ga 3.01

***

CeTmGaOs: optimized geometry, PBE-GGA.

Summary:
As for the energy of formation from the pure elements: -0.324 eV/atom. For the density of states at the Fermi level, the calculation gives 1.00 states/eV/atom.

abc: 6.9837 6.9837 6.9837
angles: 90.00 90.00 90.00
Last column: nearest neighbours and their distance in Å.
Space group F-43m (No. 216)
Inequivalent atoms, fractional coordinates:
Ce: 0.0000 0.0000 0.0000  4 Os 3.02, 4 Ga 3.02
Tm: 0.0000 0.0000 0.5000  4 Os 3.02, 4 Ga 3.02
Ga: 0.2500 0.2500 0.2500  4 Tm 3.02, 4 Ce 3.02
Os: 0.2500 0.2500 0.7500  4 Ce 3.02, 4 Tm 3.02

***

CeUGa5Os2: optimized geometry, PBE-GGA.

Summary:
As for the energy of formation from the pure elements: -0.004 eV/atom. For the density of states at the Fermi level, the calculation gives 1.60 states/eV/atom.

abc: 4.8138 4.8138 7.6729
angles: 90.00 90.00 90.00
Last column: nearest neighbours and their distance in Å.
Space group P4/mmm (No. 123)
Inequivalent atoms, fractional coordinates:
Ce: 0.0000 0.0000 0.0000  12 Ga 3.15-3.40
U: 0.0000 0.0000 0.5000  8 Ga 3.01
Ga: 0.0000 0.5000 0.2641  2 Os 2.45
Ga: 0.5000 0.5000 0.0000  2 Os 2.49
Os: 0.5000 0.5000 0.3249  5 Ga 2.45-2.49, 1 Os 2.69

***

CeGaP2: optimized geometry, PBE-GGA.

Summary:
As for the energy of formation from the pure elements: -0.712 eV/atom. For the density of states at the Fermi level, the calculation gives 0.56 states/eV/atom.

abc: 4.4378 4.4378 3.7500
angles: 90.00 90.00 90.00
Last column: nearest neighbours and their distance in Å.
Space group P4/mmm (No. 123)
Inequivalent atoms, fractional coordinates:
Ce: 0.0000 0.0000 0.0000  8 P 2.91, 4 Ga 3.14
Ga: 0.5000 0.5000 0.0000  8 P 2.91, 4 Ce 3.14
P: 0.0000 0.5000 0.5000  4 Ce 2.91, 4 Ga 2.91, 4 P 3.14

***

Ce2GaP: optimized geometry, PBE-GGA.

Summary:
As for the energy of formation from the pure elements: -0.779 eV/atom. For the density of states at the Fermi level, the calculation gives 2.51 states/eV/atom.

abc: 3.9103 3.9103 23.6747
angles: 90.00 90.00 120.00
Last column: nearest neighbours and their distance in Å.
Space group R3m (No. 160, hexagonal axes)
Inequivalent atoms, fractional coordinates:
Ce: 0.0000 0.0000 0.0000  3 P 2.82
Ce: 0.0000 0.0000 0.1899  3 P 2.83
Ga: 0.0000 0.0000 0.4279  6 Ce 3.18-3.19
P: 0.0000 0.0000 0.5954  6 Ce 2.82-2.83

***

Ce4GaP: optimized geometry, PBE-GGA.

Summary:
As for the energy of formation from the pure elements: -0.545 eV/atom. For the density of states at the Fermi level, the calculation gives 2.52 states/eV/atom.

abc: 15.6091 5.4904 7.2900
angles: 90.00 105.35 90.00
Last column: nearest neighbours and their distance in Å.
Space group C2/c (No. 15)
Inequivalent atoms, fractional coordinates:
Ce: 0.0757 0.0982 0.4780  2 Ce 2.69-2.80, 1 P 2.81
Ce: 0.1668 0.3342 0.1062  1 Ce 2.80, 2 P 2.83-2.86
Ga: 0.0000 0.4123 0.7500  10 Ce 3.09-3.36
P: 0.2500 0.2500 0.5000  6 Ce 2.81-2.86

***

CeGaP2: optimized geometry, PBE-GGA.

Summary:
As for the energy of formation from the pure elements: 0.192 eV/atom. For the density of states at the Fermi level, the calculation gives 1.45 states/eV/atom.

abc: 3.4653 3.4653 25.8932
angles: 90.00 90.00 120.00
Last column: nearest neighbours and their distance in Å.
Space group R-3m (No. 166, hexagonal axes)
Inequivalent atoms, fractional coordinates:
Ce: 0.0000 0.0000 0.0000  2 P 2.80
Ga: 0.0000 0.0000 0.5000  6 P 2.51
P: 0.0000 0.0000 0.1082  3 Ga 2.51, 1 Ce 2.80

***

Ce2GaP: optimized geometry, PBE-GGA.

Summary:
As for the energy of formation from the pure elements: -0.420 eV/atom. For the density of states at the Fermi level, the calculation gives 2.62 states/eV/atom.

abc: 3.7373 3.7373 29.2040
angles: 90.00 90.00 120.00
Last column: nearest neighbours and their distance in Å.
Space group R-3m (No. 166, hexagonal axes)
Inequivalent atoms, fractional coordinates:
Ce: 0.0000 0.0000 0.1074  3 P 2.77
Ga: 0.0000 0.0000 0.0000  2 Ce 3.14
P: 0.0000 0.0000 0.5000  6 Ce 2.77

***

Ce2GaP: optimized geometry, PBE-GGA.

Summary:
As for the energy of formation from the pure elements: -0.812 eV/atom. For the density of states at the Fermi level, the calculation gives 1.75 states/eV/atom.

abc: 3.4356 3.4356 7.5897
angles: 90.00 90.00 90.00
Last column: nearest neighbours and their distance in Å.
Space group P4/mmm (No. 123)
Inequivalent atoms, fractional coordinates:
Ce: 0.0000 0.0000 0.2248  4 P 2.97, 4 Ga 3.20
Ga: 0.5000 0.5000 0.5000  8 Ce 3.20, 4 Ga 3.44
P: 0.5000 0.5000 0.0000  8 Ce 2.97

***

Ce2GaP3Pd4: optimized geometry, PBE-GGA.

Summary:
As for the energy of formation from the pure elements: -0.910 eV/atom. For the density of states at the Fermi level, the calculation gives 1.16 states/eV/atom.

abc: 4.1664 4.1664 10.2572
angles: 90.00 90.00 90.00
Last column: nearest neighbours and their distance in Å.
Space group P-4m2 (No. 115)
Inequivalent atoms, fractional coordinates:
Ce: 0.0000 0.5000 0.2421  6 P 3.14-3.37, 8 Pd 3.20-3.24, 2 Ga 3.37
Ga: 0.0000 0.0000 0.5000  4 Pd 2.50
P: 0.0000 0.5000 0.8650  5 Pd 2.36-2.50
P: 0.5000 0.5000 0.5000  4 Pd 2.50
Pd: 0.0000 0.0000 0.0000  4 P 2.50
Pd: 0.0000 0.5000 0.6353  3 P 2.36-2.50, 2 Ga 2.50
Pd: 0.5000 0.5000 0.0000  4 P 2.50

***

Ce2GaP3Rh4: optimized geometry, PBE-GGA.

Summary:
As for the energy of formation from the pure elements: -1.050 eV/atom. For the density of states at the Fermi level, the calculation gives 0.75 states/eV/atom.

abc: 4.0873 4.0873 10.0221
angles: 90.00 90.00 90.00
Last column: nearest neighbours and their distance in Å.
Space group P-4m2 (No. 115)
Inequivalent atoms, fractional coordinates:
Ce: 0.0000 0.5000 0.2495  6 P 3.11-3.24, 8 Rh 3.12-3.23, 2 Ga 3.24
Ga: 0.0000 0.0000 0.5000  4 Rh 2.45
P: 0.0000 0.5000 0.8653  5 Rh 2.31-2.45
P: 0.5000 0.5000 0.5000  4 Rh 2.45
Rh: 0.0000 0.0000 0.0000  4 P 2.45
Rh: 0.0000 0.5000 0.6343  3 P 2.31-2.45, 2 Ga 2.45
Rh: 0.5000 0.5000 0.0000  4 P 2.45